PBE Hf2Ga2Co5Ge, relaxed; energy of formation = -0.2691 eV/atom; space group = P4/mbm, No. 127
1.0
3.3478 0.0000 0.0000
0.0000 9.0751 0.0000
0.0000 0.0000 9.0751
Hf Co Ge Ga
4 10 2 4
direct
0.0000 0.3264 0.8264
0.0000 0.8264 0.6736
0.0000 0.6736 0.1736
0.0000 0.1736 0.3264
0.5000 0.5606 0.7021
0.5000 0.0606 0.7979
0.5000 0.4394 0.2979
0.5000 0.5000 0.0000
0.5000 0.9394 0.2021
0.5000 0.7979 0.9394
0.5000 0.2021 0.0606
0.5000 0.2979 0.5606
0.5000 0.0000 0.5000
0.5000 0.7021 0.4394
0.0000 0.0000 0.0000
0.0000 0.5000 0.5000
0.0000 0.8758 0.3758
0.0000 0.1242 0.6242
0.0000 0.6242 0.8758
0.0000 0.3758 0.1242